1.
# PmCu4Pt3O12 | the Alexandria database | PBE-GGA | relaxed
# Density of states at the Fermi level (states/eV/atom): 0.85
# Uncorrected formation energy (eV per atom): -0.7771
data_PmCu4Pt3O12
_chemical_formula_sum 'Pm1 Cu4 Pt3 O12'
_space_group_name_H-M_alt 'P 1'
_space_group_IT_number 1
_cell_length_a 6.5376
_cell_length_b 6.5376
_cell_length_c 6.5376
_cell_angle_alpha 109.47
_cell_angle_beta 109.47
_cell_angle_gamma 109.47
loop_
_space_group_symop_operation_xyz
'x,y,z'
loop_
_atom_site_label
_atom_site_type_symbol
_atom_site_fract_x
_atom_site_fract_y
_atom_site_fract_z
_atom_site_occupancy
Pm1 Pm 0.0000 0.0000 0.0000 1
Cu1 Cu 0.0000 0.0000 0.5000 1
Cu2 Cu 0.0000 0.5000 0.0000 1
Cu3 Cu 0.5000 0.0000 0.0000 1
Cu4 Cu 0.5000 0.5000 0.5000 1
Pt1 Pt 0.0000 0.5000 0.5000 1
Pt2 Pt 0.5000 0.0000 0.5000 1
Pt3 Pt 0.5000 0.5000 0.0000 1
O1 O 0.1307 0.3038 0.8269 1
O2 O 0.1731 0.4770 0.3038 1
O3 O 0.1731 0.8693 0.6962 1
O4 O 0.3038 0.1731 0.4770 1
O5 O 0.3038 0.8269 0.1307 1
O6 O 0.4770 0.3038 0.1731 1
O7 O 0.5230 0.6962 0.8269 1
O8 O 0.6962 0.1731 0.8693 1
O9 O 0.6962 0.8269 0.5230 1
O10 O 0.8269 0.1307 0.3038 1
O11 O 0.8269 0.5230 0.6962 1
O12 O 0.8693 0.6962 0.1731 1

2.
# Mg2TcNi | the Alexandria database | PBE-GGA | relaxed
# Density of states at the Fermi level (states/eV/atom): 1.15
# Energy relative to the elements (kJ/mol of formula units): 77.3
# ΔE to the lowest computed polymorph (meV/atom): 134
data_Mg2TcNi
_chemical_formula_sum 'Mg2 Tc1 Ni1'
_space_group_name_H-M_alt 'P 1'
_space_group_IT_number 1
_cell_length_a 3.9550
_cell_length_b 3.9550
_cell_length_c 3.8735
_cell_angle_alpha 90.00
_cell_angle_beta 90.00
_cell_angle_gamma 90.00
loop_
_space_group_symop_operation_xyz
'x,y,z'
loop_
_atom_site_label
_atom_site_type_symbol
_atom_site_fract_x
_atom_site_fract_y
_atom_site_fract_z
_atom_site_occupancy
Mg1 Mg 0.0000 0.5000 0.0000 1
Mg2 Mg 0.5000 0.0000 0.0000 1
Tc1 Tc 0.0000 0.0000 0.5000 1
Ni1 Ni 0.5000 0.5000 0.5000 1

3.
# V2ReNiGe | the Alexandria database | PBE-GGA | relaxed
# Density of states at the Fermi level (states/eV/atom): 1.21
# Energy relative to the elements (kJ/mol of formula units): 590.5
data_V2ReNiGe
_chemical_formula_sum 'V2 Re1 Ni1 Ge1'
_space_group_name_H-M_alt 'P 1'
_space_group_IT_number 1
_cell_length_a 4.5440
_cell_length_b 4.5440
_cell_length_c 4.5872
_cell_angle_alpha 90.00
_cell_angle_beta 90.00
_cell_angle_gamma 90.00
loop_
_space_group_symop_operation_xyz
'x,y,z'
loop_
_atom_site_label
_atom_site_type_symbol
_atom_site_fract_x
_atom_site_fract_y
_atom_site_fract_z
_atom_site_occupancy
V1 V 0.0000 0.5000 0.0000 1
V2 V 0.5000 0.0000 0.0000 1
Re1 Re 0.0000 0.0000 0.0000 1
Ni1 Ni 0.0000 0.0000 0.5000 1
Ge1 Ge 0.5000 0.5000 0.5000 1